PmNiPd | the Alexandria database | PBE | relaxed; space-group type = Imma; volume = 18.00 Å³/atom; density of states at the Fermi level = 2.8 states/eV per cell; formation energy from the elements = -0.56 eV/atom; theoretical density = 9.5 g/cm3; E above lowest polymorph = 0.00 eV per formula unit; spin magnetization = 0.00 μB per atom
1.0
-3.3841 3.7885 1.3572
-0.3555 1.5041 5.1002
1.8423 4.8292 1.2983
Pm Ni Pd
2 2 2
direct
0.8811 0.3689 0.3689 Pm
0.1189 0.6311 0.6311 Pm
0.0000 0.0000 0.0000 Ni
0.5000 0.0000 0.0000 Ni
0.5000 0.5000 0.0000 Pd
0.5000 0.0000 0.5000 Pd

Pm3Ni7Pd2 | the Alexandria database | PBE | relaxed; space-group type = R-3m; volume = 15.92 Å³/atom; density of states at the Fermi level = 13.8 states/eV per cell; formation energy from the elements = -0.41 eV/atom; theoretical density = 9.2 g/cm3; spin magnetization = 0.00 μB per atom
1.0
0.4577 -4.2014 2.8667
4.5618 -2.2269 0.5566
3.1880 2.6588 7.9361
Pm Ni Pd
3 7 2
direct
0.0000 0.0000 0.0000 Pm
0.8608 0.8608 0.4177 Pm
0.1392 0.1392 0.5823 Pm
0.5000 0.5000 0.5000 Ni
0.9133 0.4143 0.2582 Ni
0.4143 0.9133 0.2582 Ni
0.4143 0.4143 0.2582 Ni
0.0867 0.5857 0.7418 Ni
0.5857 0.5857 0.7418 Ni
0.5857 0.0867 0.7418 Ni
0.6675 0.6675 0.9976 Pd
0.3325 0.3325 0.0024 Pd

Pm2Ni9Pd | the Alexandria database | PBE | relaxed; space-group type = R-3m; volume = 14.26 Å³/atom; density of states at the Fermi level = 13.6 states/eV per cell; formation energy from the elements = -0.14 eV/atom; theoretical density = 9.0 g/cm3; spin magnetization = 0.26 μB per atom
1.0
-4.6560 1.0318 1.3395
-3.5706 -3.3701 -0.6561
-1.2883 -3.7490 7.5693
Pm Ni Pd
2 9 1
direct
0.8676 0.8676 0.3973 Pm
0.1324 0.1324 0.6027 Pm
0.6672 0.6672 0.9984 Ni
0.3328 0.3328 0.0016 Ni
0.5000 0.5000 0.5000 Ni
0.4202 0.4202 0.2399 Ni
0.9197 0.4202 0.2399 Ni
0.4202 0.9197 0.2399 Ni
0.5798 0.5798 0.7601 Ni
0.5798 0.0803 0.7601 Ni
0.0803 0.5798 0.7601 Ni
0.0000 0.0000 0.0000 Pd

Pm2NiPd | the Alexandria database | PBE | relaxed; space-group type = P2_1/m; volume = 22.97 Å³/atom; density of states at the Fermi level = 5.0 states/eV per cell; formation energy from the elements = -0.58 eV/atom; theoretical density = 8.2 g/cm3; spin magnetization = 0.00 μB per atom
1.0
-1.4175 -3.3038 2.6219
1.2658 -3.7608 -4.0547
6.1126 1.0636 4.6450
Pm Ni Pd
4 2 2
direct
0.7500 0.2282 0.4279 Pm
0.2500 0.7718 0.5721 Pm
0.2500 0.7801 0.0655 Pm
0.7500 0.2199 0.9345 Pm
0.2500 0.3434 0.2097 Ni
0.7500 0.6566 0.7903 Ni
0.7500 0.6621 0.2885 Pd
0.2500 0.3379 0.7115 Pd

Q: Which value of spin magnetization does entry 4 give?
A: 0.00 μB per atom

Q: Which formula does entry 3 have?
A: Pm2Ni9Pd

Q: Among the records above, which one has the highest formation energy from the elements?
A: Pm2Ni9Pd